No. 1
Entry from the Open Quantum Materials Database: a relaxed GdNbW crystal (PBE).

The value obtained for the formation energy is 967 meV per atom. As for the total magnetic moment: 0.00 μB per formula unit.

The structure belongs to space group F-43m (No. 216); the cell edges are 6.526, 6.526 and 6.526 Å and the angles 90.00°, 90.00° and 90.00°. The inequivalent atoms are Gd at (0.000, 0.000, 0.000), Nb at (0.250, 0.250, 0.250) and W at (0.000, 0.000, 0.500).

No. 2
Entry from the Open Quantum Materials Database: a relaxed NdGd2Ni9 crystal (PBE).

The value obtained for the formation energy is -372 meV per atom. As for the total magnetic moment: 0.57 μB per formula unit.

The structure belongs to space group R-3m (No. 166, hexagonal axes); the cell edges are 4.9854, 4.9854 and 24.4520 Å and the angles 90.00°, 90.00° and 120.00°. The inequivalent atoms are Nd at (0.0000, 0.0000, 0.0000), Gd at (0.0000, 0.0000, 0.1390), Ni at (0.0000, 0.0000, 0.3329), Ni at (0.0000, 0.0000, 0.5000) and Ni at (0.9995, 0.4998, 0.0821).

Copy entry 2 word for word.
Entry from the Open Quantum Materials Database: a relaxed NdGd2Ni9 crystal (PBE).

The value obtained for the formation energy is -372 meV per atom. As for the total magnetic moment: 0.57 μB per formula unit.

The structure belongs to space group R-3m (No. 166, hexagonal axes); the cell edges are 4.9854, 4.9854 and 24.4520 Å and the angles 90.00°, 90.00° and 120.00°. The inequivalent atoms are Nd at (0.0000, 0.0000, 0.0000), Gd at (0.0000, 0.0000, 0.1390), Ni at (0.0000, 0.0000, 0.3329), Ni at (0.0000, 0.0000, 0.5000) and Ni at (0.9995, 0.4998, 0.0821).

Q: total magnetic moment of number 2 (NdGd2Ni9)?
A: 0.57 μB per formula unit

Q: Number 1 is which compound?
A: GdNbW

Q: What is the total magnetic moment in the second record?
A: 0.57 μB per formula unit